i:
YPPtO | PBE | optimized geometry

Values from the calculation:
- size of the total moment (μB/f.u.) = 0.00

a b c (Å): 3.5459 7.5753 5.5670
angles (deg): 90.00 90.00 90.00
With the nearest neighbours (Å) after each atom.
Element x y z (fractional)
P 0.5000 0.9121 0.4487  2 Pt 2.27
P 0.5000 0.0879 0.9487  2 Pt 2.27
O 0.0000 0.5665 0.9214  2 Y 2.11, 1 Pt 2.22
O 0.0000 0.4335 0.4214  2 Y 2.11, 1 Pt 2.22
Pt 0.0000 0.2744 0.9393  1 O 2.22, 2 P 2.27
Pt 0.0000 0.7256 0.4393  1 O 2.22, 2 P 2.27
Y 0.5000 0.7165 0.9445  2 O 2.11
Y 0.5000 0.2835 0.4445  2 O 2.11

ii:
YPPtO | PBE | optimized geometry

Values from the calculation:
- size of the total moment (μB/f.u.) = 0.01

a b c (Å): 5.7543 5.7543 4.4465
angles (deg): 90.00 90.00 90.00
With the nearest neighbours (Å) after each atom.
Element x y z (fractional)
Pt 0.5000 0.0000 0.9878  2 P 2.22
Y 0.5000 0.5000 0.5000  2 O 2.22
O 0.5000 0.5000 0.0000  2 Y 2.22
Y 0.0000 0.0000 0.5000  2 O 2.22
Pt 0.0000 0.5000 0.0122  2 P 2.22
P 0.0000 0.5000 0.5120  2 Pt 2.22
O 0.0000 0.0000 0.0000  2 Y 2.22
P 0.5000 0.0000 0.4880  2 Pt 2.22

iii:
YPPtO | PBE | optimized geometry

Values from the calculation:
- size of the total moment (μB/f.u.) = 0.00

a b c (Å): 4.1125 4.1125 7.6923
angles (deg): 90.00 90.00 90.00
With the nearest neighbours (Å) after each atom.
Element x y z (fractional)
Y 0.0000 0.5000 0.1318  4 O 2.29
Pt 0.5000 0.5000 0.5000  4 P 2.41
Pt 0.0000 0.0000 0.5000  4 P 2.41
Y 0.5000 0.0000 0.8682  4 O 2.29
O 0.0000 0.0000 0.0000  4 Y 2.29
O 0.5000 0.5000 0.0000  4 Y 2.29
P 0.0000 0.5000 0.6632  4 Pt 2.41
P 0.5000 0.0000 0.3368  4 Pt 2.41

Structures ranked by computed energy, the most stable listed first: iii, i, ii.

i:
RbRePO | PBE | optimized geometry

Values from the calculation:
- size of the total moment (μB/f.u.) = 0.18

a b c (Å): 4.1899 4.1899 8.3880
angles (deg): 90.00 90.00 90.00
With the nearest neighbours (Å) after each atom.
Element x y z (fractional)
P 0.7500 0.7500 0.2124  1 Re 2.31
Re 0.2500 0.2500 0.0634  4 O 2.16, 1 P 2.31
O 0.7500 0.2500 0.0000  4 Re 2.16
Re 0.7500 0.7500 0.9366  4 O 2.16, 1 P 2.31
P 0.2500 0.2500 0.7876  1 Re 2.31
Rb 0.7500 0.2500 0.5000  4 Rb 2.96, 4 P 3.20
O 0.2500 0.7500 0.0000  4 Re 2.16
Rb 0.2500 0.7500 0.5000  4 Rb 2.96, 4 P 3.20

ii:
RbRePO | PBE | optimized geometry

Values from the calculation:
- size of the total moment (μB/f.u.) = 0.02

a b c (Å): 3.7277 3.7277 12.1137
angles (deg): 90.00 90.00 90.00
With the nearest neighbours (Å) after each atom.
Element x y z (fractional)
Rb 0.2500 0.2500 0.1616  4 O 2.70
O 0.7500 0.2500 0.0000  4 O 2.64, 4 Rb 2.70
O 0.2500 0.7500 0.0000  4 O 2.64, 4 Rb 2.70
Rb 0.7500 0.7500 0.8384  4 O 2.70
P 0.7500 0.7500 0.3681  4 Re 2.46
Re 0.2500 0.7500 0.5000  4 P 2.46, 4 Re 2.64
P 0.2500 0.2500 0.6319  4 Re 2.46
Re 0.7500 0.2500 0.5000  4 P 2.46, 4 Re 2.64

Structures ranked by computed energy, the most stable listed first: ii, i.

i:
RbRePO | PBE | optimized geometry

Values from the calculation:
- size of the total moment (μB/f.u.) = 0.58

a b c (Å): 3.6823 3.6823 9.5186
angles (deg): 90.00 90.00 90.00
With the nearest neighbours (Å) after each atom.
Element x y z (fractional)
P 0.5000 0.0000 0.2338  4 Re 2.80, 4 O 2.89, 4 Rb 3.13
Rb 0.0000 0.0000 0.5000  4 Rb 2.60
Re 0.5000 0.0000 0.8734  4 O 2.20
O 0.0000 0.0000 0.0000  4 Re 2.20
P 0.0000 0.5000 0.7662  4 Re 2.80, 4 O 2.89, 4 Rb 3.13
Rb 0.5000 0.5000 0.5000  4 Rb 2.60
O 0.5000 0.5000 0.0000  4 Re 2.20
Re 0.0000 0.5000 0.1266  4 O 2.20

ii:
RbRePO | PBE | optimized geometry

Values from the calculation:
- size of the total moment (μB/f.u.) = 0.00

a b c (Å): 3.8206 6.3328 7.4963
angles (deg): 90.00 90.00 90.00
With the nearest neighbours (Å) after each atom.
Element x y z (fractional)
Rb 0.0000 0.3241 0.0672  2 O 3.01-3.03
Re 0.5000 0.8226 0.9668  2 O 1.93
Rb 0.0000 0.6759 0.5672  2 O 3.01-3.03
P 0.5000 0.0770 0.7583  2 Re 2.24-2.28
O 0.0000 0.2170 0.4617  2 Re 1.93
Re 0.5000 0.1774 0.4668  2 O 1.93
O 0.0000 0.7830 0.9617  2 Re 1.93
P 0.5000 0.9230 0.2583  2 Re 2.24-2.28

Structures ranked by computed energy, the most stable listed first: ii, i.

i:
ReSiPO | PBE | optimized geometry

Values from the calculation:
- size of the total moment (μB/f.u.) = 0.00

a b c (Å): 3.2554 3.2554 9.9917
angles (deg): 90.00 90.00 90.00
With the nearest neighbours (Å) after each atom.
Element x y z (fractional)
O 0.0000 0.5000 0.0000  4 Re 2.12, 4 O 2.30
Si 0.0000 0.5000 0.5000  4 Si 2.30
P 0.0000 0.0000 0.7410  4 Re 2.61, 4 Si 2.91
Re 0.0000 0.0000 0.1358  4 O 2.12
Si 0.5000 0.0000 0.5000  4 Si 2.30
Re 0.5000 0.5000 0.8642  4 O 2.12
P 0.5000 0.5000 0.2590  4 Re 2.61, 4 Si 2.91
O 0.5000 0.0000 0.0000  4 Re 2.12, 4 O 2.30

ii:
ReSiPO | PBE | optimized geometry

Values from the calculation:
- size of the total moment (μB/f.u.) = 0.00

a b c (Å): 3.3633 5.8114 5.5470
angles (deg): 90.00 90.00 90.00
With the nearest neighbours (Å) after each atom.
Element x y z (fractional)
O 0.0000 0.7665 0.6287  2 Si 1.78
O 0.0000 0.2335 0.1287  2 Si 1.78
P 0.5000 0.7988 0.1279  2 Si 2.26-2.34, 2 Re 2.35
P 0.5000 0.2012 0.6279  2 Si 2.26-2.34, 2 Re 2.35
Si 0.5000 0.1919 0.0347  2 O 1.78
Si 0.5000 0.8081 0.5347  2 O 1.78
Re 0.0000 0.4304 0.4548  2 O 2.14-2.18, 2 P 2.35
Re 0.0000 0.5696 0.9548  2 O 2.14-2.18, 2 P 2.35

Structures ranked by computed energy, the most stable listed first: ii, i.

i:
ReSnPO | PBE | optimized geometry

Values from the calculation:
- size of the total moment (μB/f.u.) = 0.00

a b c (Å): 3.7373 3.7373 10.4615
angles (deg): 90.00 90.00 90.00
With the nearest neighbours (Å) after each atom.
Element x y z (fractional)
Sn 0.0000 0.5000 0.1148  4 O 2.22
Re 0.5000 0.5000 0.5000  4 P 2.47, 4 Re 2.64
P 0.0000 0.5000 0.6540  4 Re 2.47
O 0.0000 0.0000 0.0000  4 Sn 2.22
Sn 0.5000 0.0000 0.8852  4 O 2.22
O 0.5000 0.5000 0.0000  4 Sn 2.22
P 0.5000 0.0000 0.3460  4 Re 2.47
Re 0.0000 0.0000 0.5000  4 P 2.47, 4 Re 2.64

ii:
ReSnPO | PBE | optimized geometry

Values from the calculation:
- size of the total moment (μB/f.u.) = 0.00

a b c (Å): 3.5680 7.2248 5.4171
angles (deg): 90.00 90.00 90.00
With the nearest neighbours (Å) after each atom.
Element x y z (fractional)
Re 0.0000 0.9589 0.0679  2 O 2.07-2.13, 2 P 2.30
Re 0.0000 0.0411 0.5679  2 O 2.07-2.13, 2 P 2.30
P 0.5000 0.1529 0.3456  2 Re 2.30
Sn 0.5000 0.3964 0.9686  2 O 2.28
O 0.0000 0.2144 0.8719  2 Re 2.07-2.13, 2 Sn 2.28
O 0.0000 0.7856 0.3719  2 Re 2.07-2.13, 2 Sn 2.28
Sn 0.5000 0.6036 0.4686  2 O 2.28
P 0.5000 0.8471 0.8456  2 Re 2.30

Structures ranked by computed energy, the most stable listed first: i, ii.

i:
TaRePO | PBE | optimized geometry

Values from the calculation:
- size of the total moment (μB/f.u.) = 0.00

a b c (Å): 4.0898 5.3252 5.0637
angles (deg): 90.00 90.00 90.00
With the nearest neighbours (Å) after each atom.
Element x y z (fractional)
Ta 0.5000 0.3143 0.6231  2 O 2.05
Re 0.0000 0.9995 0.3759  2 O 2.16-2.17
P 0.5000 0.2026 0.1230  4 Ta 2.57-2.75, 4 Re 2.63-2.64
O 0.0000 0.3299 0.6240  2 Ta 2.05, 2 Re 2.16-2.17
O 0.0000 0.6701 0.1240  2 Ta 2.05, 2 Re 2.16-2.17
Re 0.0000 0.0005 0.8759  2 O 2.16-2.17
Ta 0.5000 0.6857 0.1231  2 O 2.05
P 0.5000 0.7974 0.6230  4 Ta 2.57-2.75, 4 Re 2.63-2.64

ii:
TaRePO | PBE | optimized geometry

Values from the calculation:
- size of the total moment (μB/f.u.) = 0.00

a b c (Å): 3.7743 3.7743 7.2415
angles (deg): 90.00 90.00 90.00
With the nearest neighbours (Å) after each atom.
Element x y z (fractional)
Ta 0.0000 0.0000 0.5000  4 P 2.62, 4 Ta 2.67
Ta 0.5000 0.5000 0.5000  4 P 2.62, 4 Ta 2.67
Re 0.5000 0.0000 0.8301  4 O 2.25
O 0.0000 0.0000 0.0000  4 Re 2.25
Re 0.0000 0.5000 0.1699  4 O 2.25
O 0.5000 0.5000 0.0000  4 Re 2.25
P 0.5000 0.0000 0.2483  4 O 2.61, 4 Ta 2.62, 4 Re 2.73
P 0.0000 0.5000 0.7517  4 O 2.61, 4 Ta 2.62, 4 Re 2.73

iii:
TaRePO | PBE | optimized geometry

Values from the calculation:
- size of the total moment (μB/f.u.) = 0.00

a b c (Å): 3.7603 3.7603 7.4006
angles (deg): 90.00 90.00 90.00
With the nearest neighbours (Å) after each atom.
Element x y z (fractional)
P 0.5000 0.5000 0.2955  4 Re 2.41
O 0.0000 0.5000 0.0000  4 Ta 2.25
P 0.0000 0.0000 0.7045  4 Re 2.41
Ta 0.0000 0.0000 0.1675  4 O 2.25
Re 0.5000 0.0000 0.5000  4 P 2.41, 4 Re 2.66
O 0.5000 0.0000 0.0000  4 Ta 2.25
Re 0.0000 0.5000 0.5000  4 P 2.41, 4 Re 2.66
Ta 0.5000 0.5000 0.8325  4 O 2.25

Structures ranked by computed energy, the most stable listed first: i, iii, ii.